No. 1
LiLuZn2: optimized geometry, PBE.

a b c (Å): 3.261 4.881 4.881
angles (deg): 90.00 90.00 90.00
Positions (direct):
Zn  0.000  0.000  0.500
Zn  0.000  0.500  0.000
Lu  0.500  0.500  0.500
Li  0.500  0.000  0.000


No. 2
SrZn2Au4: optimized geometry, PBE.

a b c (Å): 5.424 5.735 5.735
angles (deg): 77.08 61.78 61.78
Positions (direct):
Sr  0.000  0.000  0.000
Zn  0.750  0.500  0.500
Zn  0.250  0.500  0.500
Au  0.698  0.000  0.605
Au  0.302  0.000  0.395
Au  0.302  0.395  0.000
Au  0.698  0.605  0.000


No. 3
La5Sm5Tl2: optimized geometry, PBE.

a b c (Å): 5.491 6.382 16.901
angles (deg): 125.66 90.00 115.48
Positions (direct):
La  0.500  0.000  0.500
La  0.646  0.291  0.991
La  0.728  0.456  0.311
La  0.272  0.544  0.689
La  0.354  0.709  0.009
Sm  0.124  0.249  0.424
Sm  0.639  0.278  0.764
Sm  0.361  0.722  0.236
Sm  0.876  0.751  0.576
Sm  0.000  0.000  0.000
Tl  0.988  0.976  0.804
Tl  0.012  0.024  0.196


No. 4
Ca3Zn2Cu7: optimized geometry, PBE.

a b c (Å): 5.270 5.270 8.959
angles (deg): 72.90 72.90 60.00
Positions (direct):
Ca  0.000  0.000  0.000
Ca  0.859  0.859  0.423
Ca  0.141  0.141  0.577
Zn  0.668  0.668  0.996
Zn  0.332  0.332  0.004
Cu  0.500  0.500  0.500
Cu  0.915  0.420  0.246
Cu  0.420  0.915  0.246
Cu  0.420  0.420  0.246
Cu  0.085  0.580  0.754
Cu  0.580  0.580  0.754
Cu  0.580  0.085  0.754


No. 5
Cs5SnF8: optimized geometry, PBE.

a b c (Å): 7.464 7.464 7.464
angles (deg): 110.40 110.40 107.63
Each line ends with the local moment (μB).
Positions (direct):
Cs  0.876  0.254  0.869  0.00
Cs  0.746  0.615  0.622  0.00
Cs  0.385  0.007  0.131  0.00
Cs  0.500  0.500  0.000  0.00
Cs  0.993  0.124  0.378  0.00
Sn  0.250  0.750  0.500  0.41
F  0.058  0.738  0.183  0.08
F  0.262  0.444  0.320  0.08
F  0.555  0.838  0.406  0.04
F  0.162  0.569  0.717  0.04
F  0.852  0.445  0.283  0.04
F  0.125  0.942  0.680  0.08
F  0.556  0.875  0.817  0.08
F  0.431  0.148  0.594  0.04


No. 6
CsRb2ReI6: optimized geometry, PBE.

a b c (Å): 8.917 8.917 8.916
angles (deg): 60.00 60.00 90.00
Each line ends with the local moment (μB).
Positions (direct):
Cs  0.500  0.500  0.000  0.00
Re  0.000  0.000  0.000  1.51
I  0.218  0.218  0.565  0.02
I  0.782  0.782  0.435  0.02
I  0.217  0.217  0.000  0.02
I  0.783  0.783  0.000  0.02
I  0.783  0.217  0.000  0.02
I  0.217  0.783  0.000  0.02
Rb  0.750  0.250  0.500  0.00
Rb  0.250  0.750  0.500  0.00


Number 1: VASP energy -2.44 eV per atom. Number 2: VASP energy -2.92 eV per atom. Number 3: VASP energy -4.47 eV per atom. Number 4: VASP energy -3.27 eV per atom. Number 5: VASP energy -4.17 eV per atom. Number 6: VASP energy -3.16 eV per atom.